Record 1
A relaxed structure of Sc6CdGa5. Source: Alexandria via LeMat-Bulk, functional PBE-GGA.

DFT total energy in eV/atom: -5.051

Lattice parameters (Å, degrees): 4.794 6.739 14.415 90.00 90.00 90.00
Space group Immm (No. 71)
Unique sites:
1 Sc 0.000 0.240 0.000
2 Sc 0.000 0.254 0.329
3 Cd 0.000 0.000 0.500
4 Ga 0.000 0.000 0.167
5 Ga 0.000 0.500 0.159
6 Ga 0.000 0.500 0.500

---

Record 2
A relaxed structure of ScCdGa. Source: Alexandria via LeMat-Bulk, functional PBE-GGA.

DFT total energy in eV/atom: -3.792

Lattice parameters (Å, degrees): 4.5834 4.5834 3.2934 90.00 90.00 120.00
Space group P-6m2 (No. 187)
Unique sites:
1 Sc 0.0000 0.0000 0.0000
2 Cd 0.6667 0.3333 0.5000
3 Ga 0.3333 0.6667 0.5000

---

Record 3
A relaxed structure of ScCdGa. Source: Alexandria via LeMat-Bulk, functional PBE-GGA.

DFT total energy in eV/atom: -3.815

Lattice parameters (Å, degrees): 4.328 5.544 5.987 90.43 111.18 112.90
Space group P-1 (No. 2)
Unique sites:
1 Sc 0.241 0.297 0.187
2 Cd 0.080 0.749 0.411
3 Ga 0.497 0.845 0.150

---

Record 4
A relaxed structure of ScCdGa. Source: Alexandria via LeMat-Bulk, functional PBE-GGA.

DFT total energy in eV/atom: -3.744

Lattice parameters (Å, degrees): 6.423 6.423 6.423 90.00 90.00 90.00
Space group F-43m (No. 216)
Unique sites:
1 Sc 0.000 0.000 0.000
2 Cd 0.000 0.000 0.500
3 Ga 0.250 0.250 0.250

---

Record 5
A relaxed structure of ScCdGa. Source: Alexandria via LeMat-Bulk, functional PBE-GGA.

DFT total energy in eV/atom: -3.640

Lattice parameters (Å, degrees): 4.264 4.264 7.025 90.00 90.00 90.00
Space group P4/nmm (No. 129, origin choice 2)
Unique sites:
1 Sc 0.250 0.250 0.195
2 Cd 0.250 0.250 0.774
3 Ga 0.250 0.750 0.500

---

Record 6
A relaxed structure of ScCd2Ga2. Source: Alexandria via LeMat-Bulk, functional PBE-GGA.

Energy above the lowest structure with this stoichiometry in eV/f.u.: 0.64
DFT total energy in eV/atom: -2.872

Lattice parameters (Å, degrees): 8.004 8.004 3.281 90.00 90.00 90.00
Space group P4/mbm (No. 127)
Unique sites:
1 Sc 0.000 0.000 0.000
2 Cd 0.127 0.373 0.000
3 Ga 0.176 0.676 0.500

---

Record 7
A relaxed structure of ScCdGa. Source: Alexandria via LeMat-Bulk, functional PBE-GGA.

DFT total energy in eV/atom: -3.762

Lattice parameters (Å, degrees): 4.7223 4.7223 6.2119 90.00 90.00 120.00
Space group P3m1 (No. 156)
Unique sites:
1 Sc 0.0000 0.0000 0.0000
2 Sc 0.3333 0.6667 0.6643
3 Cd 0.3333 0.6667 0.1662
4 Cd 0.6667 0.3333 0.3485
5 Ga 0.0000 0.0000 0.5108
6 Ga 0.6667 0.3333 0.8502

---

Record 8
A relaxed structure of Sc6CdGa2. Source: Alexandria via LeMat-Bulk, functional PBE-GGA.

Energy above the lowest structure with this stoichiometry in eV/f.u.: 1.28
DFT total energy in eV/atom: -5.230

Lattice parameters (Å, degrees): 5.556 8.200 9.897 90.00 117.42 90.00
Space group P2_1/c (No. 14)
Unique sites:
1 Sc 0.028 0.158 0.430
2 Sc 0.389 0.680 0.436
3 Sc 0.417 0.027 0.313
4 Cd 0.000 0.000 0.000
5 Ga 0.176 0.139 0.747

---

Record 9
A relaxed structure of ScCdGa2Se. Source: Alexandria via LeMat-Bulk, functional PBE-GGA.

Formation energy from raw total energies in eV per atom: 0.597
DFT total energy in eV/atom: -2.760

Lattice parameters (Å, degrees): 5.321 5.321 5.506 90.00 90.00 90.00
Space group P4/mmm (No. 123)
Unique sites:
1 Sc 0.000 0.000 0.000
2 Cd 0.000 0.000 0.500
3 Ga 0.000 0.500 0.000
4 Se 0.500 0.500 0.500

---

Record 10
A relaxed structure of Sc4Tl2CdGa. Source: Alexandria via LeMat-Bulk, functional PBE-GGA.

DFT total energy in eV/atom: -4.594

Lattice parameters (Å, degrees): 4.9966 4.9966 24.3650 90.00 90.00 120.00
Space group R-3m (No. 166, hexagonal axes)
Unique sites:
1 Sc 0.0000 0.0000 0.1190
2 Sc 0.0000 0.0000 0.3707
3 Tl 0.0000 0.0000 0.2441
4 Cd 0.0000 0.0000 0.5000
5 Ga 0.0000 0.0000 0.0000

---

Record 11
A relaxed structure of ScV2CdGa. Source: Alexandria via LeMat-Bulk, functional PBE-GGA.

DFT total energy in eV/atom: -4.527

Lattice parameters (Å, degrees): 5.054 5.054 4.737 90.00 90.00 90.00
Space group P4/mmm (No. 123)
Unique sites:
1 Sc 0.000 0.000 0.000
2 V 0.000 0.500 0.500
3 Cd 0.500 0.500 0.500
4 Ga 0.500 0.500 0.000

---

Record 12
A relaxed structure of YScCdGa. Source: Alexandria via LeMat-Bulk, functional PBE-GGA.

DFT total energy in eV/atom: -4.625

Lattice parameters (Å, degrees): 7.118 7.118 7.118 90.00 90.00 90.00
Space group F-43m (No. 216)
Unique sites:
1 Y 0.000 0.000 0.000
2 Sc 0.000 0.000 0.500
3 Cd 0.250 0.250 0.750
4 Ga 0.250 0.250 0.250

---

Going through the records in order, we get total magnetization values of 0.000 0.000 0.000 0.000 0.000 0.100 0.000 0.000 0.000 0.000 1.374 0.001 μB/atom.
Going through the records in order, we get theoretical density values of 5.212 6.293 6.205 5.694 5.906 6.466 6.285 4.328 4.002 7.288 4.515 5.819 g/cm³.